{
  "formula": "Zr2MnPtO",
  "functional": "PBE+U",
  "state": "relaxed",
  "cell": [[5.104, 0.000, 0.000], [0.000, 5.104, 0.000], [0.000, 0.000, 3.527]],
  "species": ["Zr", "Zr", "Mn", "Pt", "O"],
  "frac_coords": [[0.000, 0.500, 0.000], [0.500, 0.000, 0.000], [0.000, 0.000, 0.000], [0.500, 0.500, 0.500], [0.000, 0.000, 0.500]],
  "magnetic_moment_mub_per_fu": 2.00,
  "total_energy_ev_per_atom": -7.105,
  "crystal_system": "tetragonal",
  "polymorph_energy_mev_per_atom": 781
}